[1]
Ce2NdTe4 | Alexandria | PBE | optimized geometry; ΔE to the lowest computed polymorph = 5.9 kJ/mol of atoms; total magnetization = 4.93 Bohr magnetons per cell; VASP energy = -5.5185 eV/atom; formation energy (no corrections) = -9.43 eV/f.u.
1.0
2.1782 -7.4248 0.0000
2.1782 7.4248 0.0000
0.0000 0.0000 15.3428
Ce Nd Te
4 2 8
direct
0.1348 0.8652 0.5680
0.1348 0.8652 0.9320
0.8652 0.1348 0.0680
0.8652 0.1348 0.4320
0.3783 0.6217 0.7500
0.6217 0.3783 0.2500
0.0352 0.9648 0.7500
0.2206 0.7794 0.1254
0.2206 0.7794 0.3746
0.5000 0.5000 0.0000
0.5000 0.5000 0.5000
0.7794 0.2206 0.6254
0.7794 0.2206 0.8746
0.9648 0.0352 0.2500

---

[2]
Sm2Y9Er | Alexandria | PBE | optimized geometry; total magnetization = 0.00 Bohr magnetons per cell; E_form = 0.024 eV per atom; VASP energy = -5.9904 eV/atom
1.0
5.0574 0.0000 0.0000
0.0000 5.0574 0.0000
0.0000 0.0000 15.1703
Sm Y Er
2 9 1
direct
0.0000 0.0000 0.1671
0.0000 0.0000 0.8329
0.0000 0.5000 0.0000
0.0000 0.5000 0.3349
0.0000 0.5000 0.6651
0.5000 0.0000 0.0000
0.5000 0.0000 0.3349
0.5000 0.0000 0.6651
0.5000 0.5000 0.1678
0.5000 0.5000 0.5000
0.5000 0.5000 0.8322
0.0000 0.0000 0.5000

---

[3]
YAl3Os | Alexandria | PBE | optimized geometry; ΔE to the lowest computed polymorph = 32.7 kJ/mol of atoms; total magnetization = 0.00 Bohr magnetons per cell; E_form = -0.222 eV per atom; VASP energy = -6.0061 eV/atom
1.0
4.7122 0.0000 0.0000
0.0000 4.7122 0.0000
0.0000 0.0000 4.7122
Y Al Os
1 3 1
direct
0.0000 0.0000 0.0000
0.0000 0.5000 0.5000
0.5000 0.0000 0.5000
0.5000 0.5000 0.0000
0.5000 0.5000 0.5000

---

[4]
TlZnAg2 | Alexandria | PBE | optimized geometry; total magnetization = 0.00 Bohr magnetons per cell; E_form = 0.128 eV per atom; VASP energy = -2.2075 eV/atom
1.0
2.2709 1.3111 4.7327
-2.2709 1.3111 4.7327
0.0000 -2.6222 4.7327
Tl Zn Ag
1 1 2
direct
0.0000 0.0000 0.0000
0.8004 0.8004 0.8004
0.2184 0.2184 0.2184
0.4394 0.4394 0.4394

---

[5]
Pu2ZnTc3 | Alexandria | PBE | optimized geometry; total magnetization = 9.70 Bohr magnetons per cell; E_form = -0.014 eV per atom; VASP energy = -10.1870 eV/atom
1.0
4.5531 -2.6465 0.0000
4.5531 2.6465 0.0000
-3.0401 0.0000 4.5217
Pu Zn Tc
2 1 3
direct
0.1217 0.1217 0.3668
0.8783 0.8783 0.6332
0.5000 0.5000 0.5000
0.0000 0.5000 0.0000
0.5000 0.0000 0.0000
0.5000 0.5000 0.0000

---

[6]
TbCe2CuS5 | Alexandria | PBE | optimized geometry; total magnetization = 3.61 Bohr magnetons per cell; VASP energy = -6.3192 eV/atom; formation energy (no corrections) = -15.64 eV/f.u.
1.0
1.9446 -8.2308 0.0000
1.9446 8.2308 0.0000
0.0000 0.0000 11.9106
Tb Ce Cu S
2 4 2 10
direct
0.1797 0.8203 0.5000
0.8203 0.1797 0.0000
0.1150 0.8850 0.8210
0.1167 0.8833 0.1670
0.8833 0.1167 0.6670
0.8850 0.1150 0.3210
0.4497 0.5503 0.8969
0.5503 0.4497 0.3969
0.0146 0.9854 0.4884
0.3023 0.6977 0.1619
0.3135 0.6865 0.8347
0.3454 0.6546 0.4936
0.4941 0.5059 0.2238
0.5059 0.4941 0.7238
0.6546 0.3454 0.9936
0.6865 0.3135 0.3347
0.6977 0.3023 0.6619
0.9854 0.0146 0.9884

---

[7]
Al4AgRh | Alexandria | PBE | optimized geometry; total magnetization = 0.00 Bohr magnetons per cell; E_form = -0.014 eV per atom; VASP energy = -4.2100 eV/atom
1.0
0.0000 3.6201 3.6201
3.6201 0.0000 3.6201
3.6201 3.6201 0.0000
Al Ag Rh
4 1 1
direct
0.1244 0.1244 0.1244
0.1244 0.1244 0.6267
0.1244 0.6267 0.1244
0.6267 0.1244 0.1244
0.5000 0.5000 0.5000
0.7500 0.7500 0.7500

---

[8]
DyTmHgAu | Alexandria | PBE | optimized geometry; ΔE to the lowest computed polymorph = 1.2 kJ/mol of atoms; total magnetization = 0.00 Bohr magnetons per cell; E_form = -0.667 eV per atom; VASP energy = -3.8306 eV/atom
1.0
0.0000 3.6369 3.6369
3.6369 0.0000 3.6369
3.6369 3.6369 0.0000
Dy Tm Hg Au
1 1 1 1
direct
0.0000 0.0000 0.0000
0.5000 0.5000 0.5000
0.7500 0.7500 0.7500
0.2500 0.2500 0.2500

---

[9]
MnAsIr2 | Alexandria | PBE | optimized geometry; total magnetization = 3.53 Bohr magnetons per cell; E_form = 0.054 eV per atom; VASP energy = -7.8309 eV/atom
1.0
2.9095 0.0000 0.0000
0.0000 3.9068 0.0000
0.0000 0.0000 5.2548
Mn As Ir
1 1 2
direct
0.0000 0.0000 0.0000
0.5000 0.5000 0.3227
0.0000 0.0000 0.5059
0.5000 0.5000 0.8266

---

[10]
LiBiAs2S | Alexandria | PBE | optimized geometry; total magnetization = 0.00 Bohr magnetons per cell; VASP energy = -3.4857 eV/atom; formation energy (no corrections) = 1.79 eV/f.u.
1.0
4.6175 0.0000 0.0000
0.0000 4.6175 0.0000
0.0000 0.0000 4.8334
Li Bi As S
1 1 2 1
direct
0.0000 0.0000 0.0000
0.5000 0.5000 0.5000
0.0000 0.5000 0.0000
0.5000 0.0000 0.0000
0.0000 0.0000 0.5000

---

[11]
Ag2HgAu2 | Alexandria | PBE | optimized geometry; ΔE to the lowest computed polymorph = 3.6 kJ/mol of atoms; total magnetization = 0.00 Bohr magnetons per cell; E_form = 0.042 eV per atom; VASP energy = -2.4700 eV/atom
1.0
7.4603 0.0000 0.0000
0.0000 7.4603 0.0000
0.0000 0.0000 3.6058
Ag Hg Au
4 2 4
direct
0.1611 0.3389 0.0000
0.3389 0.8389 0.0000
0.6611 0.1611 0.0000
0.8389 0.6611 0.0000
0.0000 0.0000 0.5000
0.5000 0.5000 0.5000
0.1357 0.6357 0.5000
0.3643 0.1357 0.5000
0.6357 0.8643 0.5000
0.8643 0.3643 0.5000

---

[12]
HoCdInCu | Alexandria | PBE | optimized geometry; total magnetization = 0.00 Bohr magnetons per cell; E_form = -0.223 eV per atom; VASP energy = -3.3046 eV/atom
1.0
0.0000 3.4646 3.4646
3.4646 0.0000 3.4646
3.4646 3.4646 0.0000
Ho Cd In Cu
1 1 1 1
direct
0.0000 0.0000 0.0000
0.2500 0.2500 0.2500
0.5000 0.5000 0.5000
0.7500 0.7500 0.7500

---

Please write out number 11 again, unchanged.
Ag2HgAu2 | Alexandria | PBE | optimized geometry; ΔE to the lowest computed polymorph = 3.6 kJ/mol of atoms; total magnetization = 0.00 Bohr magnetons per cell; E_form = 0.042 eV per atom; VASP energy = -2.4700 eV/atom
1.0
7.4603 0.0000 0.0000
0.0000 7.4603 0.0000
0.0000 0.0000 3.6058
Ag Hg Au
4 2 4
direct
0.1611 0.3389 0.0000
0.3389 0.8389 0.0000
0.6611 0.1611 0.0000
0.8389 0.6611 0.0000
0.0000 0.0000 0.5000
0.5000 0.5000 0.5000
0.1357 0.6357 0.5000
0.3643 0.1357 0.5000
0.6357 0.8643 0.5000
0.8643 0.3643 0.5000

---

Copy entry 3 word for word.
YAl3Os | Alexandria | PBE | optimized geometry; ΔE to the lowest computed polymorph = 32.7 kJ/mol of atoms; total magnetization = 0.00 Bohr magnetons per cell; E_form = -0.222 eV per atom; VASP energy = -6.0061 eV/atom
1.0
4.7122 0.0000 0.0000
0.0000 4.7122 0.0000
0.0000 0.0000 4.7122
Y Al Os
1 3 1
direct
0.0000 0.0000 0.0000
0.0000 0.5000 0.5000
0.5000 0.0000 0.5000
0.5000 0.5000 0.0000
0.5000 0.5000 0.5000